Co2IF: relaxed, GGA+U.

```
data_Co2IF
_space_group_name_H-M_alt 'P 1'
_space_group_IT_number 1
_space_group_name_Hall 'P 1'
_cell_length_a 4.459
_cell_length_b 4.459
_cell_length_c 4.459
_cell_angle_alpha 60.00
_cell_angle_beta 60.00
_cell_angle_gamma 60.00
loop_
_atom_site_label
_atom_site_type_symbol
_atom_site_fract_x
_atom_site_fract_y
_atom_site_fract_z
_atom_site_occupancy
I1 I 0.500 0.500 0.500 1
Co1 Co 0.750 0.750 0.750 1
Co2 Co 0.250 0.250 0.250 1
F1 F 0.000 0.000 0.000 1
```

Calculated values
- crystal system = cubic
- density of states at the Fermi level (states/eV/atom) = 1.62
- total magnetic moment (μB/f.u.) = 4.0
- SG = Fm-3m (225)
- excess energy over the best structure of this formula in the dataset (eV per formula unit) = 2.38